VASP calculation (GGA+U) on a geometry-optimized ZrTcMoF structure.

Cell and atoms, written as CIF:
```
data_ZrTcMoF
_chemical_formula_sum 'Zr1 Tc1 Mo1 F1'
_space_group_name_H-M_alt 'P 1'
_space_group_IT_number 1
_space_group_name_Hall 'P 1'
_cell_length_a 3.087
_cell_length_b 4.454
_cell_length_c 5.219
_cell_angle_alpha 86.52
_cell_angle_beta 89.61
_cell_angle_gamma 70.41
loop_
_atom_site_label
_atom_site_type_symbol
_atom_site_fract_x
_atom_site_fract_y
_atom_site_fract_z
Zr1 Zr 0.000 0.000 0.000
Tc1 Tc 0.439 0.118 0.434
Mo1 Mo 0.730 0.546 0.583
F1 F 0.712 0.575 0.987
```

Output
The density of states at the Fermi level comes out at 1.51 states/eV/f.u. For the total moment, the calculation gives 0.000 μB/f.u. For the final energy, the calculation gives -28.49 eV for the cell shown. The polymorph energy (0 for the lowest one) comes out at 388 meV/atom.